[1]
# Li5Au (PBE, relaxed)
data_Li5Au
_cell_length_a 5.0057
_cell_length_b 5.0057
_cell_length_c 4.6065
_cell_angle_alpha 90.00
_cell_angle_beta 90.00
_cell_angle_gamma 120.00
_symmetry_space_group_name_H-M 'P -6 2 m'
_symmetry_Int_Tables_number 189
_symmetry_space_group_name_Hall 'P -6 -2'
loop_
_atom_site_label
_atom_site_fract_x
_atom_site_fract_y
_atom_site_fract_z
Li1 0.0000 0.6895 0.0000
Li2 0.3333 0.6667 0.5000
Au1 0.0000 0.0000 0.5000
# Total DFT energy (no corrections) = -14.4 eV for the cell shown
# Theoretical density = 3.849 Mg/m³
# Energy above the lowest structure with this stoichiometry = 3 meV per atom
# Magnetic moment = 0.00 μB/atom
# Formation energy from the elements = -0.257 eV/atom

[2]
# Li13Au3 (PBE, relaxed)
data_Li13Au3
_cell_length_a 9.266
_cell_length_b 5.811
_cell_length_c 9.812
_cell_angle_alpha 90.00
_cell_angle_beta 90.00
_cell_angle_gamma 90.00
_symmetry_space_group_name_H-M 'A m m 2'
_symmetry_Int_Tables_number 38
_symmetry_space_group_name_Hall 'A 2 -2'
loop_
_atom_site_label
_atom_site_fract_x
_atom_site_fract_y
_atom_site_fract_z
Li1 0.000 0.000 0.000
Li2 0.000 0.000 0.489
Li3 0.000 0.242 0.239
Li4 0.262 0.000 0.669
Li5 0.262 0.243 0.913
Li6 0.500 0.000 0.326
Li7 0.500 0.234 0.090
Au1 0.242 0.000 0.166
Au2 0.500 0.000 0.834
# Total DFT energy (no corrections) = -78.5 eV for the cell shown
# Theoretical density = 4.281 Mg/m³
# Magnetic moment = 0.00 μB/atom
# Formation energy from the elements = -0.283 eV/atom